No. 1
VASP calculation (PBE) on crystalline Ba2TcAg at its relaxed geometry.

The structure in POSCAR format:
```
Ba2TcAg
1.0
8.325 0.000 0.000
0.000 3.639 0.000
-1.319 0.000 8.999
Ba Tc Ag
4 2 2
direct
0.247 0.000 0.232
0.253 0.500 0.768
0.747 0.500 0.232
0.753 0.000 0.768
0.000 0.500 0.000
0.500 0.000 0.000
0.000 0.000 0.500
0.500 0.500 0.500
```

Values from the calculation:
- volume (Å³/f.u.) = 136.3
- ΔE to the lowest computed polymorph (eV per atom) = 0.275
- energy relative to the elements (eV/f.u.) = 2.95

---

No. 2
VASP calculation (PBE) on crystalline AcNdS3 at its relaxed geometry.

The structure in POSCAR format:
```
AcNdS3
1.0
4.211 0.000 0.000
0.000 6.926 0.000
0.000 0.000 9.071
Ac Nd S
2 2 6
direct
0.250 0.250 0.146
0.750 0.750 0.854
0.250 0.750 0.401
0.750 0.250 0.599
0.250 0.517 0.665
0.250 0.750 0.074
0.250 0.983 0.665
0.750 0.017 0.335
0.750 0.250 0.926
0.750 0.483 0.335
```

Values from the calculation:
- volume (Å³/f.u.) = 132.3
- ΔE to the lowest computed polymorph (eV per atom) = 0.031

---

No. 3
VASP calculation (PBE) on crystalline Er8TlIn2 at its relaxed geometry.

The structure in POSCAR format:
```
Er8TlIn2
1.0
-2.528 4.240 7.327
2.528 -4.240 7.327
2.528 4.240 -7.327
Er Tl In
8 1 2
direct
0.127 0.342 0.785
0.144 0.144 0.000
0.306 0.000 0.306
0.442 0.658 0.785
0.558 0.342 0.215
0.694 0.000 0.694
0.856 0.856 0.000
0.873 0.658 0.215
0.000 0.500 0.500
0.304 0.804 0.500
0.696 0.196 0.500
```

Values from the calculation:
- volume (Å³/f.u.) = 314.2
- ΔE to the lowest computed polymorph (eV per atom) = 0.071
- energy relative to the elements (eV/f.u.) = -1.80

---

Which value of ΔE to the lowest computed polymorph does entry 2 give? 0.031 eV per atom

---

Which formula does entry 2 have? AcNdS3